Entry from Alexandria: an optimized crystal structure of Pr5Tm7 (PBE).

It has space group C2/m (No. 12), with a = 18.618 Å, b = 3.607 Å, c = 13.152 Å, α = 90.00°, β = 118.17° and γ = 90.00°. Symmetry generates all atoms from Pr at (0.000, 0.000, 0.000), Pr at (0.164, 0.000, 0.496), Pr at (0.195, 0.500, 0.752), Tm at (0.000, 0.500, 0.500), Tm at (0.028, 0.000, 0.751), Tm at (0.137, 0.500, 0.247) and Tm at (0.166, 0.500, 0.996).

The value obtained for the total magnetization is 0.0 μB/cell. The excess energy over the best structure of this formula in the dataset comes out at 0.00 eV/f.u. As for the energy of formation: 0.011 eV/atom. The density of states at the Fermi level comes out at 31.4 states/eV per cell. The volume comes out at 778.6 Å³ per cell.